Computed, not measured: crystalline PuScGa4 at its relaxed geometry at the PBE-GGA level of DFT.

a b c (Å): 5.439 5.439 5.439
angles (deg): 60.00 60.00 60.00
Last column: magnetic moment on the atom in μB.
Fractional coordinates of all 6 atoms:
Sc (0.250, 0.250, 0.250)  0.20
Ga (0.625, 0.625, 0.125)  0.01
Ga (0.625, 0.125, 0.625)  0.01
Ga (0.625, 0.625, 0.625)  0.01
Ga (0.125, 0.625, 0.625)  0.01
Pu (0.000, 0.000, 0.000)  5.40

Summary:
The energy above the lowest structure with this stoichiometry comes out at 69.1 meV/atom. The magnetization comes out at 6.1 Bohr magnetons per cell. The calculation puts the formation enthalpy at 0 K at -0.385 eV/atom.

***

Computed, not measured: crystalline PuSc5Ga3 at its relaxed geometry at the PBE-GGA level of DFT.

a b c (Å): 6.095 8.430 8.430
angles (deg): 120.00 90.00 90.00
Last column: magnetic moment on the atom in μB.
Fractional coordinates of all 18 atoms:
Pu (0.000, 0.000, 0.000)  5.59
Pu (0.500, 0.000, 0.000)  5.59
Sc (0.000, 0.667, 0.333)  0.04
Sc (0.500, 0.333, 0.667)  0.04
Sc (0.000, 0.333, 0.667)  0.04
Sc (0.500, 0.667, 0.333)  0.04
Sc (0.750, 0.675, 0.675)  0.16
Sc (0.750, 0.000, 0.325)  0.16
Sc (0.750, 0.325, 0.000)  0.16
Sc (0.250, 0.325, 0.325)  0.16
Sc (0.250, 0.000, 0.675)  0.16
Sc (0.250, 0.675, 0.000)  0.16
Ga (0.750, 0.347, 0.347)  -0.04
Ga (0.750, 0.000, 0.653)  -0.04
Ga (0.750, 0.653, 0.000)  -0.04
Ga (0.250, 0.653, 0.653)  -0.04
Ga (0.250, 0.000, 0.347)  -0.04
Ga (0.250, 0.347, 0.000)  -0.04

Summary:
The magnetization comes out at 13.2 Bohr magnetons per cell. The calculation puts the formation enthalpy at 0 K at -0.451 eV/atom.

***

Computed, not measured: crystalline PuScGa2 at its relaxed geometry at the PBE-GGA level of DFT.

a b c (Å): 3.018 5.257 5.257
angles (deg): 90.00 90.00 90.00
Last column: magnetic moment on the atom in μB.
Fractional coordinates of all 4 atoms:
Sc (0.500, 0.000, 0.000)  0.27
Ga (0.000, 0.000, 0.500)  0.02
Ga (0.000, 0.500, 0.000)  0.02
Pu (0.500, 0.500, 0.500)  5.42

Summary:
The energy above the lowest structure with this stoichiometry comes out at 75.5 meV/atom. The magnetization comes out at 6.1 Bohr magnetons per cell. The calculation puts the formation enthalpy at 0 K at -0.364 eV/atom.

***

Computed, not measured: crystalline PuScGa2 at its relaxed geometry at the PBE-GGA level of DFT.

a b c (Å): 3.106 3.106 8.376
angles (deg): 90.00 90.00 90.00
Last column: magnetic moment on the atom in μB.
Fractional coordinates of all 4 atoms:
Sc (0.500, 0.500, 0.000)  0.12
Ga (0.000, 0.000, 0.765)  -0.05
Ga (0.000, 0.000, 0.235)  -0.05
Pu (0.500, 0.500, 0.500)  5.34

Summary:
The energy above the lowest structure with this stoichiometry comes out at 0.0 meV/atom. The magnetization comes out at 5.6 Bohr magnetons per cell. The calculation puts the formation enthalpy at 0 K at -0.439 eV/atom.

***

Computed, not measured: crystalline PuSc3Ga4 at its relaxed geometry at the PBE-GGA level of DFT.

a b c (Å): 4.824 4.824 8.390
angles (deg): 73.29 73.29 60.00
Last column: magnetic moment on the atom in μB.
Fractional coordinates of all 8 atoms:
Sc (0.250, 0.250, 0.250)  0.06
Sc (0.750, 0.750, 0.750)  0.06
Sc (0.500, 0.500, 0.500)  -0.07
Ga (0.872, 0.872, 0.383)  -0.01
Ga (0.378, 0.378, 0.866)  -0.01
Ga (0.128, 0.128, 0.617)  -0.01
Ga (0.622, 0.622, 0.134)  -0.01
Pu (0.000, 0.000, 0.000)  5.21

Summary:
The magnetization comes out at 5.4 Bohr magnetons per cell. The calculation puts the formation enthalpy at 0 K at -0.497 eV/atom.

***

Computed, not measured: crystalline PuScGa4 at its relaxed geometry at the PBE-GGA level of DFT.

a b c (Å): 4.411 4.411 6.868
angles (deg): 90.00 90.00 120.00
Last column: magnetic moment on the atom in μB.
Fractional coordinates of all 6 atoms:
Pu (0.000, 0.000, 0.500)  5.27
Sc (0.000, 0.000, 0.000)  0.16
Ga (0.333, 0.667, 0.234)  0.01
Ga (0.333, 0.667, 0.766)  0.01
Ga (0.667, 0.333, 0.234)  0.01
Ga (0.667, 0.333, 0.766)  0.01

Summary:
The energy above the lowest structure with this stoichiometry comes out at 0.0 meV/atom. The magnetization comes out at 5.9 Bohr magnetons per cell. The calculation puts the formation enthalpy at 0 K at -0.454 eV/atom.

***

Computed, not measured: crystalline Pu2ScGa9 at its relaxed geometry at the PBE-GGA level of DFT.

a b c (Å): 5.416 5.416 9.671
angles (deg): 73.74 73.74 60.00
Last column: magnetic moment on the atom in μB.
Fractional coordinates of all 12 atoms:
Pu (0.857, 0.857, 0.428)  5.44
Pu (0.143, 0.143, 0.572)  5.44
Sc (0.000, 0.000, 0.000)  -0.08
Ga (0.666, 0.666, 0.002)  0.00
Ga (0.334, 0.334, 0.998)  0.00
Ga (0.500, 0.500, 0.500)  -0.04
Ga (0.414, 0.414, 0.250)  0.00
Ga (0.921, 0.414, 0.250)  0.00
Ga (0.414, 0.921, 0.250)  0.00
Ga (0.586, 0.586, 0.750)  0.00
Ga (0.586, 0.079, 0.750)  0.00
Ga (0.079, 0.586, 0.750)  0.00

Summary:
The energy above the lowest structure with this stoichiometry comes out at 178.8 meV/atom. The magnetization comes out at 11.5 Bohr magnetons per cell. The calculation puts the formation enthalpy at 0 K at -0.239 eV/atom.

***

Computed, not measured: crystalline PuScGa2 at its relaxed geometry at the PBE-GGA level of DFT.

a b c (Å): 4.909 4.909 4.909
angles (deg): 60.00 60.00 60.00
Last column: magnetic moment on the atom in μB.
Fractional coordinates of all 4 atoms:
Sc (0.500, 0.500, 0.500)  0.14
Ga (0.250, 0.250, 0.250)  -0.01
Ga (0.750, 0.750, 0.750)  -0.01
Pu (0.000, 0.000, 0.000)  5.20

Summary:
The energy above the lowest structure with this stoichiometry comes out at 12.4 meV/atom. The magnetization comes out at 5.6 Bohr magnetons per cell. The calculation puts the formation enthalpy at 0 K at -0.427 eV/atom.